The following is a DFT calculation (PBE) of a relaxed structure of MnSnIrSe.

Geometry as POSCAR:
```
MnSnIrSe
1.0
-1.578 1.862 6.295
1.578 -1.862 6.295
1.578 1.862 -6.295
Mn Sn Ir Se
1 1 1 1
Cartesian
0.000 0.000 0.000
0.000 0.000 7.718
0.000 0.000 2.715
0.000 1.862 4.496
```

Summary:
E_form (uncorrected) ... 3 kJ/mol of formula units
ρ ... 9.99 g/cm3

=====

The following is a DFT calculation (PBE) of a relaxed structure of NiIr.

Geometry as POSCAR:
```
NiIr
1.0
4.071 0.000 0.000
-2.036 3.526 0.000
0.000 0.000 4.858
Ni Ir
2 2
Cartesian
0.000 2.351 1.215
2.036 1.175 3.644
0.000 2.351 3.644
2.036 1.175 1.215
```

Summary:
DFT formation energy ... 1.102 eV/atom
ρ ... 11.95 g/cm3

=====

The following is a DFT calculation (PBE) of a relaxed structure of Cs2MnSbTe4.

Geometry as POSCAR:
```
Cs2MnSbTe4
1.0
0.000 7.908 12.615
3.452 0.000 12.615
3.452 7.908 0.000
Cs Mn Sb Te
4 2 2 8
Cartesian
2.589 5.931 1.594
4.315 9.885 7.902
2.589 5.931 17.329
4.315 9.885 23.636
2.589 5.931 9.462
4.315 9.885 15.769
0.863 1.977 3.154
6.041 13.839 22.077
2.681 3.489 4.826
4.222 7.443 11.133
2.496 8.373 4.826
2.496 3.489 14.097
4.407 12.327 11.133
4.407 7.443 20.405
2.681 8.373 14.097
4.222 12.327 20.405
```

Summary:
E_form (uncorrected) ... -403 kJ/mol of formula units
ρ ... 4.60 g/cm3

=====

- Look up the ρ of the first one.
  9.99 g/cm3